No. 1
# KInMoP2

A geometry-optimized KInMoP2 structure (PBE, Alexandria).

abc: 5.346 5.346 5.423
angles: 90.00 90.00 90.00
Positions (direct):
1 K 0.000 0.000 0.000
2 In 0.500 0.500 0.500
3 Mo 0.500 0.500 0.000
4 P 0.000 0.500 0.500
5 P 0.500 0.000 0.500

Output
SG = P4/mmm
crystal system = tetragonal
E_tot = -19.5 eV for the cell shown

***

No. 2
# KIn2MoPd

A geometry-optimized KIn2MoPd structure (PBE, Alexandria).

abc: 5.315 5.315 5.969
angles: 90.00 90.00 90.00
Positions (direct):
1 K 0.000 0.000 0.000
2 In 0.000 0.500 0.500
3 In 0.500 0.000 0.500
4 Mo 0.000 0.000 0.500
5 Pd 0.500 0.500 0.000

Output
SG = P4/mmm
crystal system = tetragonal
E_tot = -17.1 eV for the cell shown

***

No. 3
# KInMoPd2

A geometry-optimized KInMoPd2 structure (PBE, Alexandria).

abc: 5.146 5.146 5.321
angles: 90.00 90.00 90.00
Positions (direct):
1 K 0.000 0.000 0.000
2 In 0.500 0.500 0.500
3 Mo 0.500 0.500 0.000
4 Pd 0.000 0.500 0.500
5 Pd 0.500 0.000 0.500

Output
SG = P4/mmm
crystal system = tetragonal
E_tot = -20.4 eV for the cell shown

***

Which value of E_tot does entry 2 give?
-17.1 eV for the cell shown

***

Look up the E_tot of the second one.
-17.1 eV for the cell shown